1.
# CaC2S2O6F6

A relaxed structure of CaC2S2O6F6 (PBE, Alexandria via LeMat-Bulk).

Output
VASP energy: -98.86 eV per cell
Calculated volume: 17.2 Å³/atom
ΔE_f (raw): -1.716 eV per atom

Cell: 10.9937 10.9937 10.9937 Å, 29.91 29.91 29.91°
Fractional positions:
Ca 0.0000 0.0000 0.0000
C 0.2197 0.2197 0.2197
C 0.7803 0.7803 0.7803
S 0.2790 0.2790 0.2790
S 0.7210 0.7210 0.7210
O 0.1016 0.1961 0.5732
O 0.1961 0.5732 0.1016
O 0.4268 0.8984 0.8039
O 0.5732 0.1016 0.1961
O 0.8039 0.4268 0.8984
O 0.8984 0.8039 0.4268
F 0.0473 0.6199 0.7171
F 0.2829 0.9527 0.3801
F 0.3801 0.2829 0.9527
F 0.6199 0.7171 0.0473
F 0.7171 0.0473 0.6199
F 0.9527 0.3801 0.2829

2.
# CaTl6C2O6F2

A relaxed structure of CaTl6C2O6F2 (PBE, Alexandria via LeMat-Bulk).

Output
VASP energy: -91.74 eV per cell
Calculated volume: 21.8 Å³/atom
ΔE_f (raw): -1.388 eV per atom

Cell: 6.2739 8.0896 8.1264 Å, 105.93 109.00 93.51°
Fractional positions:
Ca 0.0000 0.0000 0.0000
Tl 0.0885 0.2213 0.5666
Tl 0.2425 0.5364 0.9753
Tl 0.3081 0.7291 0.5046
Tl 0.5720 0.3221 0.2881
Tl 0.6631 0.8672 0.2887
Tl 0.7066 0.5088 0.8775
C 0.4577 0.1085 0.8758
C 0.9161 0.7369 0.6642
O 0.1267 0.7700 0.7795
O 0.2958 0.1533 0.9408
O 0.4170 0.0675 0.7014
O 0.6609 0.1135 0.9905
O 0.7534 0.7629 0.7318
O 0.8711 0.6846 0.4893
F 0.1916 0.1852 0.2824
F 0.9546 0.8029 0.1387

3.
# CaOsCF2

A relaxed structure of CaOsCF2 (PBE, Alexandria via LeMat-Bulk).

Output
VASP energy: -25.21 eV per cell
Calculated volume: 18.7 Å³/atom
ΔE_f (raw): 0.197 eV per atom

Cell: 3.9915 3.9915 5.8694 Å, 90.00 90.00 90.00°
Fractional positions:
Ca 0.0000 0.0000 0.0000
Os 0.5000 0.5000 0.5000
C 0.0000 0.0000 0.5000
F 0.0000 0.5000 0.0000
F 0.5000 0.0000 0.0000

4.
# Ca2OsCF

A relaxed structure of Ca2OsCF (PBE, Alexandria via LeMat-Bulk).

Output
VASP energy: -23.95 eV per cell
Calculated volume: 16.9 Å³/atom
ΔE_f (raw): 0.476 eV per atom

Cell: 4.6582 4.6582 3.8937 Å, 90.00 90.00 90.00°
Fractional positions:
Ca 0.0000 0.5000 0.0000
Ca 0.5000 0.0000 0.0000
Os 0.0000 0.0000 0.5000
C 0.5000 0.5000 0.5000
F 0.5000 0.5000 0.0000

5.
# CaPC2F

A relaxed structure of CaPC2F (PBE, Alexandria via LeMat-Bulk).

Output
VASP energy: -19.56 eV per cell
Calculated volume: 14.2 Å³/atom
ΔE_f (raw): 1.635 eV per atom

Cell: 4.2429 4.2429 3.9472 Å, 90.00 90.00 90.00°
Fractional positions:
Ca 0.0000 0.0000 0.0000
P 0.5000 0.5000 0.0000
C 0.0000 0.5000 0.5000
C 0.5000 0.0000 0.5000
F 0.5000 0.5000 0.5000

6.
# Rb2CaCF6

A relaxed structure of Rb2CaCF6 (PBE, Alexandria via LeMat-Bulk).

Output
VASP energy: -45.56 eV per cell
Calculated volume: 15.5 Å³/atom
ΔE_f (raw): -2.117 eV per atom

Cell: 6.0318 6.0318 6.0318 Å, 60.00 60.00 60.00°
Fractional positions:
Rb 0.2500 0.2500 0.2500
Rb 0.7500 0.7500 0.7500
Ca 0.0000 0.0000 0.0000
C 0.5000 0.5000 0.5000
F 0.2653 0.2653 0.7347
F 0.2653 0.7347 0.2653
F 0.2653 0.7347 0.7347
F 0.7347 0.2653 0.2653
F 0.7347 0.2653 0.7347
F 0.7347 0.7347 0.2653

7.
# CaFe3C

A relaxed structure of CaFe3C (PBE, Alexandria via LeMat-Bulk).

Output
VASP energy: -35.32 eV per cell
Distance to the lowest polymorph of the same formula: 0.00 kcal/mol of atoms
ΔH_f (0 K): 0.258 eV/atom
Calculated volume: 12.3 Å³/atom

Cell: 3.9494 3.9494 3.9494 Å, 90.00 90.00 90.00°
Fractional positions:
Ca 0.0000 0.0000 0.0000
Fe 0.0000 0.5000 0.5000
Fe 0.5000 0.0000 0.5000
Fe 0.5000 0.5000 0.0000
C 0.5000 0.5000 0.5000

8.
# CaFeC

A relaxed structure of CaFeC (PBE, Alexandria via LeMat-Bulk).

Output
VASP energy: -39.94 eV per cell
Distance to the lowest polymorph of the same formula: 0.00 kcal/mol of atoms
ΔH_f (0 K): -0.094 eV/atom
Calculated volume: 16.2 Å³/atom

Cell: 3.4752 3.4752 8.0538 Å, 90.00 90.00 90.00°
Fractional positions:
Ca 0.2500 0.2500 0.2069
Ca 0.7500 0.7500 0.7931
Fe 0.2500 0.7500 0.5000
Fe 0.7500 0.2500 0.5000
C 0.2500 0.2500 0.6049
C 0.7500 0.7500 0.3951

9.
# Ca2Fe2C

A relaxed structure of Ca2Fe2C (PBE, Alexandria via LeMat-Bulk).

Output
VASP energy: -26.53 eV per cell
Distance to the lowest polymorph of the same formula: 0.00 kcal/mol of atoms
ΔH_f (0 K): 0.725 eV/atom
Calculated volume: 16.6 Å³/atom

Cell: 8.7841 8.7841 8.7841 Å, 159.51 159.51 29.13°
Fractional positions:
Ca 0.0881 0.0881 0.0000
Ca 0.9119 0.9119 0.0000
Fe 0.2500 0.7500 0.5000
Fe 0.7500 0.2500 0.5000
C 0.5000 0.5000 0.0000

10.
# Ca2FeC

A relaxed structure of Ca2FeC (PBE, Alexandria via LeMat-Bulk).

Output
VASP energy: -42.26 eV per cell
Distance to the lowest polymorph of the same formula: 0.00 kcal/mol of atoms
ΔH_f (0 K): 0.140 eV/atom
Calculated volume: 22.3 Å³/atom

Cell: 7.2167 7.2167 7.2167 Å, 93.70 93.70 150.55°
Fractional positions:
Ca 0.3750 0.1823 0.3073
Ca 0.8177 0.1250 0.1927
Ca 0.8750 0.0677 0.6927
Ca 0.9323 0.6250 0.8073
Fe 0.2500 0.7500 0.5000
Fe 0.5000 0.5000 0.0000
C 0.0000 0.0000 0.0000
C 0.7500 0.2500 0.5000

11.
# Ca2FeC

A relaxed structure of Ca2FeC (PBE, Alexandria via LeMat-Bulk).

Output
VASP energy: -16.85 eV per cell
Distance to the lowest polymorph of the same formula: 24.64 kcal/mol of atoms
ΔH_f (0 K): 1.209 eV/atom
Calculated volume: 17.3 Å³/atom

Cell: 4.6058 4.6058 4.6058 Å, 60.00 60.00 60.00°
Fractional positions:
Ca 0.2500 0.2500 0.2500
Ca 0.7500 0.7500 0.7500
Fe 0.0000 0.0000 0.0000
C 0.5000 0.5000 0.5000

12.
# CaFe3C2

A relaxed structure of CaFe3C2 (PBE, Alexandria via LeMat-Bulk).

Output
VASP energy: -45.20 eV per cell
ΔH_f (0 K): 0.106 eV/atom
Calculated volume: 10.3 Å³/atom

Cell: 5.1586 5.1586 2.6759 Å, 90.00 90.00 120.00°
Fractional positions:
Ca 0.0000 0.0000 0.0000
Fe 0.0000 0.5000 0.5000
Fe 0.5000 0.0000 0.5000
Fe 0.5000 0.5000 0.5000
C 0.3333 0.6667 0.0000
C 0.6667 0.3333 0.0000

13.
# CaFe3C

A relaxed structure of CaFe3C (PBE, Alexandria via LeMat-Bulk).

Output
VASP energy: -20.61 eV per cell
Distance to the lowest polymorph of the same formula: 67.85 kcal/mol of atoms
ΔH_f (0 K): 3.200 eV/atom
Calculated volume: 18.5 Å³/atom

Cell: 4.5226 4.5226 4.5226 Å, 90.00 90.00 90.00°
Fractional positions:
Ca 0.0000 0.0000 0.0000
Fe 0.0000 0.0000 0.5000
Fe 0.0000 0.5000 0.0000
Fe 0.5000 0.0000 0.0000
C 0.5000 0.5000 0.5000

14.
# Ca2Fe2C

A relaxed structure of Ca2Fe2C (PBE, Alexandria via LeMat-Bulk).

Output
VASP energy: -44.50 eV per cell
Distance to the lowest polymorph of the same formula: 19.71 kcal/mol of atoms
ΔH_f (0 K): 1.580 eV/atom
Calculated volume: 20.7 Å³/atom

Cell: 6.7557 6.7557 4.5325 Å, 90.00 90.00 90.00°
Fractional positions:
Ca 0.1813 0.3187 0.0000
Ca 0.3187 0.8187 0.0000
Ca 0.6813 0.1813 0.0000
Ca 0.8187 0.6813 0.0000
Fe 0.1051 0.6051 0.5000
Fe 0.3949 0.1051 0.5000
Fe 0.6051 0.8949 0.5000
Fe 0.8949 0.3949 0.5000
C 0.0000 0.0000 0.0000
C 0.5000 0.5000 0.0000

15.
# CaFe2C

A relaxed structure of CaFe2C (PBE, Alexandria via LeMat-Bulk).

Output
VASP energy: -22.07 eV per cell
Distance to the lowest polymorph of the same formula: 26.49 kcal/mol of atoms
ΔH_f (0 K): 1.519 eV/atom
Calculated volume: 11.4 Å³/atom

Cell: 4.0139 4.0139 4.0139 Å, 60.00 60.00 60.00°
Fractional positions:
Ca 0.0000 0.0000 0.0000
Fe 0.2500 0.2500 0.2500
Fe 0.7500 0.7500 0.7500
C 0.5000 0.5000 0.5000

16.
# CaFe2C3

A relaxed structure of CaFe2C3 (PBE, Alexandria via LeMat-Bulk).

Output
VASP energy: -92.27 eV per cell
ΔH_f (0 K): 0.077 eV/atom
Calculated volume: 12.3 Å³/atom

Cell: 5.6787 5.6787 4.8451 Å, 90.00 90.00 108.97°
Fractional positions:
Ca 0.2170 0.7830 0.7500
Ca 0.7830 0.2170 0.2500
Fe 0.3100 0.3100 0.0000
Fe 0.3100 0.3100 0.5000
Fe 0.6900 0.6900 0.0000
Fe 0.6900 0.6900 0.5000
C 0.0448 0.1630 0.7500
C 0.1630 0.0448 0.2500
C 0.4255 0.5745 0.2500
C 0.5745 0.4255 0.7500
C 0.8370 0.9552 0.7500
C 0.9552 0.8370 0.2500

17.
# CaFe2C

A relaxed structure of CaFe2C (PBE, Alexandria via LeMat-Bulk).

Output
VASP energy: -53.34 eV per cell
Distance to the lowest polymorph of the same formula: 0.00 kcal/mol of atoms
ΔH_f (0 K): 0.370 eV/atom
Calculated volume: 17.5 Å³/atom

Cell: 5.8335 5.8335 5.8335 Å, 60.00 60.00 60.00°
Fractional positions:
Ca 0.1250 0.1250 0.1250
Ca 0.8750 0.8750 0.8750
Fe 0.0000 0.5000 0.5000
Fe 0.5000 0.0000 0.5000
Fe 0.5000 0.5000 0.0000
Fe 0.5000 0.5000 0.5000
C 0.3750 0.3750 0.3750
C 0.6250 0.6250 0.6250

18.
# CaFeC

A relaxed structure of CaFeC (PBE, Alexandria via LeMat-Bulk).

Output
VASP energy: -18.08 eV per cell
Distance to the lowest polymorph of the same formula: 14.55 kcal/mol of atoms
ΔH_f (0 K): 0.537 eV/atom
Calculated volume: 12.2 Å³/atom

Cell: 5.2400 5.2400 5.2400 Å, 149.63 149.63 43.48°
Fractional positions:
Ca 0.0000 0.0000 0.0000
Fe 0.2700 0.2700 0.0000
C 0.7030 0.7030 0.0000

19.
# CaFeC

A relaxed structure of CaFeC (PBE, Alexandria via LeMat-Bulk).

Output
VASP energy: -19.14 eV per cell
Distance to the lowest polymorph of the same formula: 6.38 kcal/mol of atoms
ΔH_f (0 K): 0.183 eV/atom
Calculated volume: 13.9 Å³/atom

Cell: 3.3025 3.3025 4.4060 Å, 90.00 90.00 120.00°
Fractional positions:
Ca 0.0000 0.0000 0.0000
Fe 0.6667 0.3333 0.4869
C 0.3333 0.6667 0.4547

20.
# CaFe2Ge2C

A relaxed structure of CaFe2Ge2C (PBE, Alexandria via LeMat-Bulk).

Output
VASP energy: -38.23 eV per cell
ΔH_f (0 K): -0.142 eV/atom
Calculated volume: 14.1 Å³/atom

Cell: 3.9093 3.9093 5.5363 Å, 90.00 90.00 90.00°
Fractional positions:
Ca 0.0000 0.0000 0.0000
Fe 0.0000 0.5000 0.5000
Fe 0.5000 0.0000 0.5000
Ge 0.5000 0.5000 0.2318
Ge 0.5000 0.5000 0.7682
C 0.0000 0.0000 0.5000

21.
# CaFeGe2C

A relaxed structure of CaFeGe2C (PBE, Alexandria via LeMat-Bulk).

Output
VASP energy: -17.11 eV per cell
ΔH_f (0 K): 2.362 eV/atom
Calculated volume: 23.3 Å³/atom

Cell: 5.2837 5.2837 4.1729 Å, 90.00 90.00 90.00°
Fractional positions:
Ca 0.0000 0.0000 0.0000
Fe 0.5000 0.5000 0.5000
Ge 0.0000 0.5000 0.0000
Ge 0.5000 0.0000 0.0000
C 0.0000 0.0000 0.5000

22.
# Ca2FeHgC

A relaxed structure of Ca2FeHgC (PBE, Alexandria via LeMat-Bulk).

Output
VASP energy: -22.46 eV per cell
ΔH_f (0 K): -0.093 eV/atom
Calculated volume: 20.1 Å³/atom

Cell: 5.2044 5.2044 3.7041 Å, 90.00 90.00 90.00°
Fractional positions:
Ca 0.0000 0.5000 0.0000
Ca 0.5000 0.0000 0.0000
Fe 0.0000 0.0000 0.5000
Hg 0.5000 0.5000 0.5000
C 0.0000 0.0000 0.0000

23.
# Ca2InFeC

A relaxed structure of Ca2InFeC (PBE, Alexandria via LeMat-Bulk).

Output
VASP energy: -24.58 eV per cell
ΔH_f (0 K): -0.030 eV/atom
Calculated volume: 20.1 Å³/atom

Cell: 5.1944 5.1944 3.7283 Å, 90.00 90.00 90.00°
Fractional positions:
Ca 0.0000 0.5000 0.0000
Ca 0.5000 0.0000 0.0000
In 0.0000 0.0000 0.5000
Fe 0.5000 0.5000 0.5000
C 0.5000 0.5000 0.0000

24.
# CaMgFeC

A relaxed structure of CaMgFeC (PBE, Alexandria via LeMat-Bulk).

Output
VASP energy: -41.64 eV per cell
ΔH_f (0 K): 0.115 eV/atom
Calculated volume: 17.6 Å³/atom

Cell: 3.6298 3.6298 10.6576 Å, 90.00 90.00 90.00°
Fractional positions:
Ca 0.2500 0.2500 0.2147
Ca 0.7500 0.7500 0.7853
Mg 0.2500 0.7500 0.5000
Mg 0.7500 0.2500 0.5000
Fe 0.2500 0.7500 0.0000
Fe 0.7500 0.2500 0.0000
C 0.2500 0.2500 0.9294
C 0.7500 0.7500 0.0706